Entry 1:
Material: K2Nb3F9
Method: DFT, PBE
State: optimized geometry

Lattice parameters (Å, degrees): 8.588 8.588 8.279 102.08 102.08 118.84
Positions (direct):
1 K 0.056 0.732 0.685
2 K 0.268 0.944 0.315
3 K 0.732 0.056 0.685
4 K 0.944 0.268 0.315
5 Nb 0.263 0.451 0.842
6 Nb 0.358 0.358 0.135
7 Nb 0.451 0.263 0.842
8 Nb 0.549 0.737 0.158
9 Nb 0.642 0.642 0.865
10 Nb 0.737 0.549 0.158
11 F 0.007 0.392 0.665
12 F 0.090 0.295 0.974
13 F 0.187 0.187 0.662
14 F 0.204 0.204 0.272
15 F 0.295 0.090 0.974
16 F 0.296 0.704 0.000
17 F 0.392 0.007 0.665
18 F 0.396 0.604 0.311
19 F 0.396 0.604 0.689
20 F 0.604 0.396 0.311
21 F 0.604 0.396 0.689
22 F 0.608 0.993 0.335
23 F 0.704 0.296 0.000
24 F 0.705 0.910 0.026
25 F 0.796 0.796 0.728
26 F 0.813 0.813 0.338
27 F 0.910 0.705 0.026
28 F 0.993 0.608 0.335

Computed properties:
Formation energy without anion corrections   -63.727 kcal/mol of atoms
VASP energy   -6.28 eV/atom
Space group   C2/m

***

Entry 2:
Material: YSi
Method: DFT, PBE
State: optimized geometry

Lattice parameters (Å, degrees): 5.026 5.026 5.713 90.00 90.00 120.00
Positions (direct):
1 Y 0.333 0.667 0.250
2 Y 0.667 0.333 0.750
3 Si 0.333 0.667 0.750
4 Si 0.667 0.333 0.250

Computed properties:
Formation energy without anion corrections   -2.261 kcal/mol of atoms
N(E_F)   2.39 states/eV/f.u.
VASP energy   -6.04 eV/atom
Space group   P6_3/mmc

***

Entry 3:
Material: Ag2TeP
Method: DFT, PBE
State: optimized geometry

Lattice parameters (Å, degrees): 4.877 4.877 4.877 60.00 60.00 60.00
Positions (direct):
1 Ag 0.000 0.000 0.000
2 Ag 0.250 0.250 0.250
3 Te 0.750 0.750 0.750
4 P 0.500 0.500 0.500

Computed properties:
Offset from the most stable computed form   293.2 meV/atom
Formation energy without anion corrections   11.446 kcal/mol of atoms
N(E_F)   2.35 states/eV/f.u.
VASP energy   -3.07 eV/atom
Space group   F-43m

***

Entry 4:
Material: KCa2BPb
Method: DFT, PBE
State: optimized geometry

Lattice parameters (Å, degrees): 5.488 5.488 5.112 90.00 90.00 90.00
Positions (direct):
1 K 0.000 0.000 0.000
2 Ca 0.000 0.500 0.500
3 Ca 0.500 0.000 0.500
4 B 0.500 0.500 0.500
5 Pb 0.500 0.500 0.000

Computed properties:
N(E_F)   2.28 states/eV/f.u.
Energy of formation   0.2706 eV per atom
VASP energy   -2.83 eV/atom
Space group   P4/mmm

***

Entry 5:
Material: SrTaP2S8
Method: DFT, PBE
State: optimized geometry

Lattice parameters (Å, degrees): 5.971 5.971 8.555 90.00 90.00 120.00
Positions (direct):
1 Sr 0.000 0.000 0.000
2 Ta 0.000 0.000 0.500
3 P 0.333 0.667 0.742
4 P 0.667 0.333 0.258
5 S 0.007 0.673 0.327
6 S 0.327 0.333 0.327
7 S 0.333 0.007 0.673
8 S 0.333 0.667 0.976
9 S 0.667 0.333 0.024
10 S 0.667 0.993 0.327
11 S 0.673 0.667 0.673
12 S 0.993 0.327 0.673

Computed properties:
Formation energy without anion corrections   -14.535 kcal/mol of atoms
N(E_F)   5.05 states/eV/f.u.
VASP energy   -5.41 eV/atom
Space group   P-3

***

Entry 6:
Material: Fe2SiSe2
Method: DFT, PBE
State: optimized geometry

Lattice parameters (Å, degrees): 4.820 4.820 4.820 120.21 120.21 89.63
Positions (direct):
1 Fe 0.175 0.175 0.000
2 Fe 0.825 0.825 0.000
3 Si 0.500 0.500 0.000
4 Se 0.250 0.750 0.500
5 Se 0.750 0.250 0.500

Computed properties:
Offset from the most stable computed form   159.0 meV/atom
Formation energy without anion corrections   10.551 kcal/mol of atoms
N(E_F)   2.57 states/eV/f.u.
VASP energy   -5.41 eV/atom
Space group   I4/mmm